{
  "formula": "AcHf2MoO8",
  "functional": "GGA+U",
  "state": "optimized geometry",
  "total_energy_ha_per_atom": -0.322,
  "n_ef_per_ev_cell": 0.000,
  "spacegroup": "P-1",
  "lattice_angstrom": [[-4.5765, -0.3187, -1.9823], [1.6796, -2.6950, -3.8530], [-1.0930, -5.6914, 3.4860]],
  "species": ["Ac", "Hf", "Hf", "Mo", "O", "O", "O", "O", "O", "O", "O", "O"],
  "frac_coords": [[0.0000, 0.0000, 0.5000], [0.4970, 0.5032, 0.7575], [0.5030, 0.4968, 0.2425], [0.0000, 0.0000, 0.0000], [0.2004, 0.7984, 0.1997], [0.7007, 0.7018, 0.0000], [0.7954, 0.2064, 0.2069], [0.7996, 0.2016, 0.8003], [0.2993, 0.2982, 0.0000], [0.2046, 0.7936, 0.7931], [0.6664, 0.6693, 0.5001], [0.3336, 0.3307, 0.4999]]
}